1.
{
  "formula": "Ti3Ga3OsRh2",
  "functional": "PBE",
  "state": "relaxed",
  "lattice_angstrom": [[7.279, 0.000, 0.000], [-3.640, 6.304, 0.000], [0.000, 0.000, 3.007]],
  "species": ["Ti", "Ti", "Ti", "Ga", "Ga", "Ga", "Os", "Rh", "Rh"],
  "fractional_positions": [[0.000, 0.712, 0.000], [0.288, 0.288, 0.000], [0.712, 0.000, 0.000], [0.000, 0.373, 0.500], [0.373, 0.000, 0.500], [0.627, 0.627, 0.500], [0.000, 0.000, 0.500], [0.333, 0.667, 0.000], [0.667, 0.333, 0.000]],
  "rho_g_cm3": 9.01,
  "spacegroup": "No. 189",
  "magmom_total_mub_per_cell": 0.00,
  "delta_e_f_ev_per_atom": -0.610
}

2.
{
  "formula": "YGa4OsRh2",
  "functional": "PBE",
  "state": "relaxed",
  "lattice_angstrom": [[2.120, 1.224, 8.583], [-2.120, 1.224, 8.583], [0.000, -2.448, 8.583]],
  "species": ["Y", "Ga", "Ga", "Ga", "Ga", "Os", "Rh", "Rh"],
  "fractional_positions": [[0.000, 0.000, 0.000], [0.132, 0.132, 0.132], [0.400, 0.400, 0.400], [0.600, 0.600, 0.600], [0.868, 0.868, 0.868], [0.500, 0.500, 0.500], [0.239, 0.239, 0.239], [0.761, 0.761, 0.761]],
  "rho_g_cm3": 9.49,
  "spacegroup": "No. 166",
  "magmom_total_mub_per_cell": 0.00,
  "delta_e_f_ev_per_atom": -0.518
}

3.
{
  "formula": "ZrGaOsRh",
  "functional": "PBE",
  "state": "relaxed",
  "lattice_angstrom": [[0.000, 3.172, 3.172], [3.172, 0.000, 3.172], [3.172, 3.172, 0.000]],
  "species": ["Zr", "Ga", "Os", "Rh"],
  "fractional_positions": [[0.000, 0.000, 0.000], [0.500, 0.500, 0.500], [0.750, 0.750, 0.750], [0.250, 0.250, 0.250]],
  "rho_g_cm3": 11.81,
  "spacegroup": "No. 216",
  "magmom_total_mub_per_cell": 0.00,
  "delta_e_f_ev_per_atom": -0.569
}

4.
{
  "formula": "GaOsRu",
  "functional": "PBE",
  "state": "relaxed",
  "lattice_angstrom": [[4.518, -1.418, 0.000], [4.518, 1.418, 0.000], [-0.558, 0.000, 6.979]],
  "species": ["Ga", "Ga", "Os", "Os", "Ru", "Ru"],
  "fractional_positions": [[0.164, 0.164, 0.119], [0.836, 0.836, 0.881], [0.369, 0.369, 0.558], [0.631, 0.631, 0.442], [0.096, 0.096, 0.749], [0.904, 0.904, 0.251]],
  "rho_g_cm3": 13.41,
  "spacegroup": "No. 12",
  "magmom_total_mub_per_cell": 0.00,
  "delta_e_f_ev_per_atom": -0.026
}

5.
{
  "formula": "GaOsRu",
  "functional": "PBE",
  "state": "relaxed",
  "lattice_angstrom": [[4.824, -1.414, 0.000], [4.824, 1.414, 0.000], [-1.996, 0.000, 6.316]],
  "species": ["Ga", "Ga", "Os", "Os", "Ru", "Ru"],
  "fractional_positions": [[0.181, 0.181, 0.135], [0.819, 0.819, 0.865], [0.140, 0.140, 0.528], [0.860, 0.860, 0.472], [0.463, 0.463, 0.202], [0.537, 0.537, 0.798]],
  "rho_g_cm3": 13.91,
  "spacegroup": "No. 12",
  "magmom_total_mub_per_cell": 0.00,
  "delta_e_f_ev_per_atom": -0.028
}

6.
{
  "formula": "GaOs3Ru",
  "functional": "PBE",
  "state": "relaxed",
  "lattice_angstrom": [[4.750, 0.000, 0.000], [0.000, 4.750, 0.000], [0.000, 0.000, 4.750]],
  "species": ["Ga", "Os", "Os", "Os", "Ru"],
  "fractional_positions": [[0.000, 0.000, 0.000], [0.000, 0.500, 0.500], [0.500, 0.000, 0.500], [0.500, 0.500, 0.000], [0.500, 0.500, 0.500]],
  "rho_g_cm3": 11.49,
  "spacegroup": "No. 221",
  "magmom_total_mub_per_cell": 0.00,
  "delta_e_f_ev_per_atom": 2.259
}

7.
{
  "formula": "Ga3OsRu",
  "functional": "PBE",
  "state": "relaxed",
  "lattice_angstrom": [[4.731, 0.000, 0.000], [0.000, 4.731, 0.000], [0.000, 0.000, 4.731]],
  "species": ["Ga", "Ga", "Ga", "Os", "Ru"],
  "fractional_positions": [[0.000, 0.000, 0.500], [0.000, 0.500, 0.000], [0.500, 0.000, 0.000], [0.000, 0.000, 0.000], [0.500, 0.500, 0.500]],
  "rho_g_cm3": 7.85,
  "spacegroup": "No. 221",
  "magmom_total_mub_per_cell": 2.72,
  "delta_e_f_ev_per_atom": 0.776
}

8.
{
  "formula": "GaOsRu",
  "functional": "PBE",
  "state": "relaxed",
  "lattice_angstrom": [[-1.392, 1.392, 5.567], [1.392, -1.392, 5.567], [1.392, 1.392, -5.567]],
  "species": ["Ga", "Os", "Ru"],
  "fractional_positions": [[0.000, 0.000, 0.000], [0.675, 0.675, 0.000], [0.329, 0.329, 0.000]],
  "rho_g_cm3": 13.89,
  "spacegroup": "No. 107",
  "magmom_total_mub_per_cell": 0.00,
  "delta_e_f_ev_per_atom": -0.053
}

9.
{
  "formula": "GaOsRu",
  "functional": "PBE",
  "state": "relaxed",
  "lattice_angstrom": [[4.559, -1.425, 0.000], [4.559, 1.425, 0.000], [-2.879, 0.000, 6.598]],
  "species": ["Ga", "Ga", "Os", "Os", "Ru", "Ru"],
  "fractional_positions": [[0.180, 0.180, 0.105], [0.820, 0.820, 0.895], [0.155, 0.155, 0.557], [0.845, 0.845, 0.443], [0.498, 0.498, 0.227], [0.502, 0.502, 0.773]],
  "rho_g_cm3": 13.98,
  "spacegroup": "No. 12",
  "magmom_total_mub_per_cell": 0.00,
  "delta_e_f_ev_per_atom": -0.058
}

10.
{
  "formula": "GaOsRu",
  "functional": "PBE",
  "state": "relaxed",
  "lattice_angstrom": [[4.799, -1.416, 0.000], [4.799, 1.416, 0.000], [-1.225, 0.000, 6.367]],
  "species": ["Ga", "Ga", "Os", "Os", "Ru", "Ru"],
  "fractional_positions": [[0.000, 0.000, 0.000], [0.704, 0.704, 0.359], [0.367, 0.367, 0.674], [0.645, 0.645, 0.741], [0.281, 0.281, 0.064], [0.981, 0.981, 0.397]],
  "rho_g_cm3": 13.86,
  "spacegroup": "No. 8",
  "magmom_total_mub_per_cell": 0.00,
  "delta_e_f_ev_per_atom": -0.020
}

11.
{
  "formula": "Ga2OsRu",
  "functional": "PBE",
  "state": "relaxed",
  "lattice_angstrom": [[-3.516, 3.516, 2.631], [3.516, -3.516, 2.631], [3.516, 3.516, -2.631]],
  "species": ["Ga", "Ga", "Ga", "Ga", "Os", "Os", "Ru", "Ru"],
  "fractional_positions": [[0.125, 0.625, 0.000], [0.375, 0.375, 0.500], [0.625, 0.125, 0.000], [0.875, 0.875, 0.500], [0.000, 0.000, 0.000], [0.750, 0.250, 0.500], [0.250, 0.750, 0.500], [0.500, 0.500, 0.000]],
  "rho_g_cm3": 10.99,
  "spacegroup": "No. 122",
  "magmom_total_mub_per_cell": 0.00,
  "delta_e_f_ev_per_atom": 0.538
}

12.
{
  "formula": "GaOsRu",
  "functional": "PBE",
  "state": "relaxed",
  "lattice_angstrom": [[2.824, 0.000, 0.000], [-0.052, 4.540, 0.000], [-1.347, -1.416, 6.709]],
  "species": ["Ga", "Ga", "Os", "Os", "Ru", "Ru"],
  "fractional_positions": [[0.084, 0.311, 0.167], [0.916, 0.689, 0.833], [0.226, 0.750, 0.475], [0.774, 0.250, 0.525], [0.422, 0.175, 0.836], [0.578, 0.825, 0.164]],
  "rho_g_cm3": 13.94,
  "spacegroup": "No. 2",
  "magmom_total_mub_per_cell": 0.00,
  "delta_e_f_ev_per_atom": -0.048
}

For reference, N(E_F) by record: 0.4383; 0.4858; 0.1357; 0.7558; 0.7047; 1.8119; 1.2886; 0.4813; 0.8439; 0.7234; 1.1056; 0.9032 states/eV/atom.